No. 1
The following is a DFT calculation (PBE) of Dy2GaGe3Pd4 after structural relaxation.

Lattice parameters (Å, degrees): 4.238 4.238 10.356 90.00 90.00 90.00
Fractional coordinates of all 10 atoms:
Dy1 0.000 0.500 0.249
Dy2 0.500 0.000 0.751
Ga1 0.500 0.500 0.000
Ge1 0.000 0.000 0.000
Ge2 0.000 0.500 0.632
Ge3 0.500 0.000 0.368
Pd1 0.000 0.000 0.500
Pd2 0.000 0.500 0.866
Pd3 0.500 0.000 0.134
Pd4 0.500 0.500 0.500

Magnetic moment   0.0 μB/f.u.
ΔH_f (0 K)   -792.0 meV per atom
Space-group type   P-4m2
V   18.6 Å³/atom



No. 2
The following is a DFT calculation (PBE) of Dy2GaGe4Pd3 after structural relaxation.

Lattice parameters (Å, degrees): 4.064 4.064 11.282 90.00 90.00 90.00
Fractional coordinates of all 10 atoms:
Dy1 0.000 0.500 0.246
Dy2 0.500 0.000 0.754
Ga1 0.500 0.500 0.000
Ge1 0.000 0.000 0.500
Ge2 0.000 0.500 0.857
Ge3 0.500 0.000 0.143
Ge4 0.500 0.500 0.500
Pd1 0.000 0.000 0.000
Pd2 0.000 0.500 0.642
Pd3 0.500 0.000 0.358

Magnetic moment   0.0 μB/f.u.
ΔH_f (0 K)   -695.4 meV per atom
Space-group type   P-4m2
V   18.6 Å³/atom



No. 3
The following is a DFT calculation (PBE) of Dy2GaGePd6 after structural relaxation.

Lattice parameters (Å, degrees): 5.097 5.597 7.420 70.31 89.96 63.41
Fractional coordinates of all 10 atoms:
Dy1 0.000 0.000 0.000
Dy2 0.304 0.998 0.507
Ga1 0.646 0.314 0.288
Ge1 0.339 0.310 0.789
Pd1 0.107 0.405 0.106
Pd2 0.166 0.605 0.412
Pd3 0.524 0.592 0.915
Pd4 0.589 0.846 0.184
Pd5 0.772 0.406 0.596
Pd6 0.875 0.828 0.694

Magnetic moment   0.0 μB/f.u.
ΔH_f (0 K)   -743.6 meV per atom
Space-group type   P1
V   17.5 Å³/atom



No. 4
The following is a DFT calculation (PBE) of PmDyGaGe after structural relaxation.

Lattice parameters (Å, degrees): 7.243 7.243 7.243 90.00 90.00 90.00
Fractional coordinates of all 16 atoms:
Pm1 0.000 0.000 0.000
Pm2 0.000 0.500 0.500
Pm3 0.500 0.000 0.500
Pm4 0.500 0.500 0.000
Dy1 0.000 0.000 0.500
Dy2 0.000 0.500 0.000
Dy3 0.500 0.000 0.000
Dy4 0.500 0.500 0.500
Ga1 0.250 0.250 0.750
Ga2 0.250 0.750 0.250
Ga3 0.750 0.250 0.250
Ga4 0.750 0.750 0.750
Ge1 0.250 0.250 0.250
Ge2 0.250 0.750 0.750
Ge3 0.750 0.250 0.750
Ge4 0.750 0.750 0.250

Magnetic moment   0.0 μB/f.u.
ΔH_f (0 K)   -574.7 meV per atom
Space-group type   F-43m
V   23.7 Å³/atom
Energy above the most stable polymorph in this dataset   203 meV/atom



No. 5
The following is a DFT calculation (PBE) of PmDyGaGe after structural relaxation.

Lattice parameters (Å, degrees): 4.047 4.383 10.979 90.00 90.00 90.00
Fractional coordinates of all 8 atoms:
Pm1 0.000 0.000 0.000
Pm2 0.000 0.500 0.500
Dy1 0.500 0.000 0.280
Dy2 0.500 0.500 0.780
Ga1 0.500 0.000 0.565
Ga2 0.500 0.500 0.065
Ge1 0.000 0.000 0.720
Ge2 0.000 0.500 0.220

Magnetic moment   0.0 μB/f.u.
ΔH_f (0 K)   -777.5 meV per atom
Space-group type   Amm2
V   24.3 Å³/atom
Energy above the most stable polymorph in this dataset   0 meV/atom



No. 6
The following is a DFT calculation (PBE) of Dy2GaGePt6 after structural relaxation.

Lattice parameters (Å, degrees): 8.357 8.357 8.357 39.02 39.02 39.02
Fractional coordinates of all 10 atoms:
Dy1 0.203 0.203 0.203
Dy2 0.797 0.797 0.797
Ga1 0.500 0.500 0.500
Ge1 0.000 0.000 0.000
Pt1 0.250 0.250 0.750
Pt2 0.250 0.750 0.250
Pt3 0.250 0.750 0.750
Pt4 0.750 0.250 0.250
Pt5 0.750 0.250 0.750
Pt6 0.750 0.750 0.250

Magnetic moment   0.0 μB/f.u.
ΔH_f (0 K)   -829.4 meV per atom
Space-group type   R-3m
V   20.8 Å³/atom



No. 7
The following is a DFT calculation (PBE) of Dy2Ga4GePt3 after structural relaxation.

Lattice parameters (Å, degrees): 4.217 4.217 10.658 90.00 90.00 90.00
Fractional coordinates of all 10 atoms:
Dy1 0.000 0.500 0.243
Dy2 0.500 0.000 0.757
Ga1 0.000 0.000 0.000
Ga2 0.000 0.500 0.640
Ga3 0.500 0.000 0.360
Ga4 0.500 0.500 0.000
Ge1 0.000 0.000 0.500
Pt1 0.000 0.500 0.867
Pt2 0.500 0.000 0.133
Pt3 0.500 0.500 0.500

Magnetic moment   0.0 μB/f.u.
ΔH_f (0 K)   -814.5 meV per atom
Space-group type   P-4m2
V   19.0 Å³/atom



No. 8
The following is a DFT calculation (PBE) of Dy2Ga4Ge2Pt after structural relaxation.

Lattice parameters (Å, degrees): 6.389 6.389 6.389 122.77 122.77 85.26
Fractional coordinates of all 9 atoms:
Dy1 0.250 0.750 0.500
Dy2 0.750 0.250 0.500
Ga1 0.212 0.212 0.424
Ga2 0.212 0.788 0.000
Ga3 0.788 0.212 0.000
Ga4 0.788 0.788 0.576
Ge1 0.225 0.225 0.000
Ge2 0.775 0.775 0.000
Pt1 0.500 0.500 0.000

Magnetic moment   0.0 μB/f.u.
ΔH_f (0 K)   -539.0 meV per atom
Space-group type   I4/mmm
V   19.6 Å³/atom